A plane-wave DFT calculation with GGA-PBE was carried out for crystalline K2MgI4 at its relaxed geometry.

POSCAR file:
```
K2MgI4
1.0
-2.8244 -4.8290 -1.7399
4.3842 -3.3024 2.0486
-3.2438 -4.5395 8.0015
I Mg K
4 1 2
Direct
0.1645 0.1645 0.6711
0.0000 0.5000 0.0000
0.5000 0.0000 0.0000
0.8355 0.8355 0.3289
0.0000 0.0000 0.0000
0.6370 0.6370 0.7259
0.3630 0.3630 0.2741
```

- energy above the lowest structure with this stoichiometry (eV/atom) = 0.052
- E_tot (eV/cell) = -18.623
- uncorrected formation energy (eV per atom) = -1.23

A plane-wave DFT calculation with GGA-PBE was carried out for crystalline Pu3Ge5Ir6 at its relaxed geometry.

POSCAR file:
```
Pu3Ge5Ir6
1.0
-2.4981 -2.2900 2.3161
7.3420 -1.5442 6.3923
-3.4559 10.3012 6.4578
Ir Ge Pu
12 10 6
Direct
0.5000 0.0143 0.0000
0.5000 0.3968 0.7993
0.0000 0.0056 0.8321
0.5000 0.9944 0.3321
0.0000 0.6032 0.7007
0.0000 0.4958 0.5000
0.5000 0.5042 0.0000
0.0000 0.9857 0.5000
0.5000 0.9944 0.6679
0.0000 0.6032 0.2993
0.0000 0.0056 0.1679
0.5000 0.3968 0.2007
0.0000 0.5184 0.8812
0.0000 0.8507 0.6708
0.5000 0.1493 0.1708
0.5000 0.4816 0.3812
0.5000 0.4816 0.6188
0.0000 0.8507 0.3292
0.5000 0.1493 0.8292
0.0000 0.8658 0.0000
0.0000 0.5184 0.1188
0.5000 0.1342 0.5000
0.0000 0.2531 0.3381
0.0000 0.2531 0.6619
0.5000 0.7435 0.5000
0.0000 0.2565 0.0000
0.5000 0.7469 0.8381
0.5000 0.7469 0.1619
```

- ΔE_f (meV per atom) = -552
- E_tot (eV/cell) = -253.962

A plane-wave DFT calculation with GGA-PBE was carried out for crystalline CaRhOF2 at its relaxed geometry.

POSCAR file:
```
CaRhOF2
1.0
4.2311 0.0000 0.0000
0.0000 4.2311 0.0000
0.0000 0.0000 4.6647
F Rh O Ca
2 1 1 1
Direct
0.5000 0.0000 0.0000
0.0000 0.5000 0.0000
0.5000 0.5000 0.5000
0.0000 0.0000 0.5000
0.0000 0.0000 0.0000
```

- energy above the lowest structure with this stoichiometry (eV/atom) = 0.371
- E_tot (eV/cell) = -24.599
- uncorrected formation energy (eV per atom) = -1.31

A plane-wave DFT calculation with GGA-PBE was carried out for crystalline P3WN at its relaxed geometry.

POSCAR file:
```
P3WN
1.0
3.9599 0.0000 0.0000
0.0000 3.9599 0.0000
0.0000 0.0000 3.9599
P N W
3 1 1
Direct
0.0000 0.0000 0.5000
0.0000 0.5000 0.0000
0.5000 0.0000 0.0000
0.0000 0.0000 0.0000
0.5000 0.5000 0.5000
```

- energy above the lowest structure with this stoichiometry (eV/atom) = 0.000
- E_tot (eV/cell) = -33.140
- uncorrected formation energy (eV per atom) = 0.87

A plane-wave DFT calculation with GGA-PBE was carried out for crystalline UPaS3 at its relaxed geometry.

POSCAR file:
```
UPaS3
1.0
-4.6354 3.6752 -3.4090
0.5853 -4.3486 -5.4840
-4.7295 -1.3032 5.0260
S U Pa
6 2 2
Direct
0.2500 0.3343 0.0670
0.7500 0.9330 0.6657
0.7500 0.7328 0.0670
0.2500 0.9330 0.2672
0.2500 0.7328 0.6657
0.7500 0.3343 0.2672
0.0000 0.0000 0.0000
0.5000 0.0000 0.0000
0.5000 0.6667 0.3333
0.0000 0.6667 0.3333
```

- energy above the lowest structure with this stoichiometry (eV/atom) = 0.157
- E_tot (eV/cell) = -80.360
- uncorrected formation energy (eV per atom) = -1.40

A plane-wave DFT calculation with GGA-PBE was carried out for crystalline Ba3Sb at its relaxed geometry.

POSCAR file:
```
Ba3Sb
1.0
4.7584 0.0000 0.0000
0.0000 7.7635 0.0000
0.0000 0.0000 11.3525
Sb Ba
2 6
Direct
0.0000 0.0000 0.6658
0.5000 0.5000 0.3342
0.0000 0.5000 0.5562
0.0000 0.7340 0.1648
0.5000 0.2340 0.8352
0.0000 0.2660 0.1648
0.5000 0.0000 0.4438
0.5000 0.7660 0.8352
```

- energy above the lowest structure with this stoichiometry (eV/atom) = 0.066
- E_tot (eV/cell) = -24.091
- uncorrected formation energy (eV per atom) = -0.54

A plane-wave DFT calculation with GGA-PBE was carried out for crystalline Sc3InGe at its relaxed geometry.

POSCAR file:
```
Sc3InGe
1.0
-2.4486 2.3411 -3.7407
-4.3358 -0.4804 2.5375
0.8210 4.4449 2.2444
In Ge Sc
1 1 3
Direct
0.5000 0.5000 0.5000
0.0000 0.0000 0.0000
0.5000 0.0000 0.0000
0.0000 0.5000 0.0000
0.0000 0.0000 0.5000
```

- ΔE_f (meV per atom) = -301
- energy above the lowest structure with this stoichiometry (eV/atom) = 0.000
- E_tot (eV/cell) = -27.857

A plane-wave DFT calculation with GGA-PBE was carried out for crystalline HoMg2Pt2 at its relaxed geometry.

POSCAR file:
```
HoMg2Pt2
1.0
-0.7114 -0.9194 -4.5251
-3.8390 -2.3318 1.0774
-5.2170 8.1958 -0.8450
Ho Mg Pt
2 4 4
Direct
0.7500 0.2496 0.6781
0.2500 0.7504 0.3219
0.7500 0.2500 0.0150
0.2500 0.7500 0.9850
0.2500 0.7500 0.6691
0.7500 0.2500 0.3309
0.7500 0.7496 0.5082
0.2500 0.2504 0.4918
0.2500 0.2499 0.8434
0.7500 0.7501 0.1566
```

- ΔE_f (meV per atom) = -862
- energy above the lowest structure with this stoichiometry (eV/atom) = 0.011
- E_tot (eV/cell) = -48.321

A plane-wave DFT calculation with GGA-PBE was carried out for crystalline KLiSe2 at its relaxed geometry.

POSCAR file:
```
KLiSe2
1.0
-3.7501 7.2290 2.5346
-2.1475 -5.0888 -1.2692
-1.0022 -0.2744 2.7896
Se Li K
2 1 1
Direct
0.5000 0.0000 0.5000
0.0000 0.0000 0.0000
0.5000 0.5000 0.0000
0.0000 0.5000 0.5000
```

- E_tot (eV/cell) = -12.558
- uncorrected formation energy (eV per atom) = -0.64

A plane-wave DFT calculation with GGA-PBE was carried out for crystalline Nd3CI at its relaxed geometry.

POSCAR file:
```
Nd3CI
1.0
5.0421 1.0008 0.0000
0.9133 8.4964 0.0000
0.0000 0.0000 7.4002
C Nd I
2 6 2
Direct
0.9974 0.0055 0.7500
0.0026 0.9945 0.2500
0.1061 0.7859 0.0060
0.4915 0.0169 0.2500
0.5085 0.9831 0.7500
0.8939 0.2141 0.9940
0.1061 0.7859 0.4940
0.8939 0.2141 0.5060
0.7149 0.5699 0.7500
0.2851 0.4301 0.2500
```

- E_tot (eV/cell) = -53.653
- uncorrected formation energy (eV per atom) = -0.35

A plane-wave DFT calculation with GGA-PBE was carried out for crystalline CsHfTa2 at its relaxed geometry.

POSCAR file:
```
CsHfTa2
1.0
-2.1339 -3.7229 2.1912
2.2187 -3.0415 -3.0069
7.8610 -4.0628 6.0497
Ta Cs Hf
4 2 2
Direct
0.7586 0.6250 0.2500
0.3750 0.0086 0.7500
0.9914 0.1250 0.2500
0.8750 0.2414 0.7500
0.5000 0.5000 0.0000
0.2500 0.7500 0.5000
0.7500 0.2500 0.5000
0.0000 0.0000 0.0000
```

- ΔE_f (meV per atom) = 1906
- energy above the lowest structure with this stoichiometry (eV/atom) = 0.198
- E_tot (eV/cell) = -53.776

A plane-wave DFT calculation with GGA-PBE was carried out for crystalline InCuSeO2 at its relaxed geometry.

POSCAR file:
```
InCuSeO2
1.0
-3.7761 -0.8648 0.8694
1.7616 -4.3429 3.3315
0.1556 2.4542 3.1170
Se O In Cu
1 2 1 1
Direct
0.5000 0.5000 0.5000
0.0000 0.0000 0.5000
0.5000 0.0000 0.0000
0.0000 0.0000 0.0000
0.0000 0.5000 0.0000
```

- E_tot (eV/cell) = -19.693
- uncorrected formation energy (eV per atom) = 0.11

A plane-wave DFT calculation with GGA-PBE was carried out for crystalline LiTbHfGa at its relaxed geometry.

POSCAR file:
```
LiTbHfGa
1.0
-0.6361 3.2173 3.6142
-4.0246 2.7574 0.1321
-3.3967 -0.8022 3.4113
Tb Ga Hf Li
1 1 1 1
Direct
0.5000 0.5000 0.5000
0.2500 0.2500 0.2500
0.0000 0.0000 0.0000
0.7500 0.7500 0.7500
```

- ΔE_f (meV per atom) = -152
- E_tot (eV/cell) = -20.132